{"formula": "Co2SiO4", "functional": "PBE with a Hubbard U", "state": "optimized geometry", "lattice": [[-1.7252, 1.7252, 5.3912], [1.7252, -1.7252, 5.3912], [1.7252, 1.7252, -5.3912]], "species": ["Si", "O", "O", "O", "O", "Co", "Co"], "fractional_positions": [[0.0000, 0.0000, 0.0000], [0.8341, 0.8341, 0.0000], [0.1659, 0.1659, 0.0000], [0.5000, 0.0000, 0.5000], [0.0000, 0.5000, 0.5000], [0.3436, 0.3436, 0.0000], [0.6564, 0.6564, 0.0000]], "sg": "I4/mmm, No. 139", "crystal_system": "tetragonal", "e_tot_ry_per_atom": -0.460}